No. 1
8
Lattice="-3.1721 3.3918 0.7237 -1.0382 -1.8578 4.1563 10.1436 5.1700 4.8446" Properties=species:S:1:pos:R:3 comment="La2PrSb, optimized geometry, DFT PBE" spacegroup="P2_1/m, No. 11" final_energy_ev_per_atom=-5.2768 dos_ef_per_ev_atom=1.12 raw_formation_energy_mev_per_atom=-588 e_above_lowest_polymorph_mev_per_atom=18.7 pbc="T T T"
La -0.6739 2.2167 2.1340
La 6.6072 4.4873 7.5906
La 0.3208 -0.6124 3.7410
La 5.6125 7.3163 5.9837
Pr 1.0021 3.0123 5.5313
Pr 4.9313 3.6917 4.1934
Sb 2.6335 1.8759 2.8078
Sb 3.2998 4.8281 6.9168

No. 2
16
Lattice="-0.1968 0.5120 -4.2362 -7.2972 -1.8076 2.2742 -2.4069 11.6252 1.5169" Properties=species:S:1:pos:R:3 comment="Hf5Sb2C, optimized geometry, DFT PBE" spacegroup="Cmcm, No. 63" final_energy_ev_per_atom=-8.4609 dos_ef_per_ev_atom=0.65 raw_formation_energy_mev_per_atom=-56 pbc="T T T"
Hf -7.8843 9.2555 -0.6686
Hf -7.2750 6.3127 -1.0526
Hf -5.5758 4.1838 0.7648
Hf -4.6547 -0.2651 0.1842
Hf -4.3688 2.3926 -1.6614
Hf -5.5321 7.9370 1.2164
Hf -4.3252 6.1458 -1.2098
Hf -5.2463 10.5947 -0.6293
Hf -2.0167 1.0741 0.2235
Hf -2.6260 4.0169 0.6075
Sb -7.2561 3.3308 -1.4138
Sb -6.6434 0.3714 -1.8000
Sb -2.6448 6.9987 0.9688
Sb -3.2575 9.9582 1.3550
C -5.9767 8.1203 -0.8944
C -3.9242 2.2092 0.4494

No. 3
24
Lattice="-1.8444 3.7797 4.1468 -0.5458 -2.1426 5.9164 11.5552 3.5345 2.5769" Properties=species:S:1:pos:R:3 comment="Pm2WC3, optimized geometry, DFT PBE" spacegroup="C2/c, No. 15" final_energy_ev_per_atom=-8.5102 dos_ef_per_ev_atom=0.01 e_above_lowest_polymorph_mev_per_atom=0.0 formation_enthalpy_0k_ev_per_atom=-0.16 pbc="T T T"
Pm 2.8298 2.4479 5.6238
Pm 1.4127 -0.2143 2.9691
Pm 6.3352 2.7237 7.0163
Pm 7.7523 5.3859 9.6709
Pm -0.1462 -0.1235 6.1938
Pm 2.8206 3.1771 9.3665
Pm 9.3112 5.2951 6.4462
Pm 6.3444 1.9946 3.2736
W 0.0135 1.1844 9.3370
W 2.8267 0.0929 7.9161
W 9.1515 3.9873 3.3031
W 6.3383 5.0787 4.7239
C 1.3431 1.4638 7.8402
C 7.8219 3.7078 4.7998
C 0.3427 1.5985 4.3775
C 3.8443 1.2303 3.6482
C 8.8223 3.5732 8.2625
C 5.3207 3.9413 8.9919
C 4.7984 4.1146 5.3719
C 10.8315 3.4511 4.0847
C 4.3666 1.0570 7.2681
C -1.6665 1.7205 8.5553
C 2.3385 -1.2100 6.5139
C 6.8265 6.3816 6.1261

No. 4
5
Lattice="-1.6535 -5.3432 -0.9233 0.7757 -1.1230 5.1096 -5.3583 1.4620 1.1348" Properties=species:S:1:pos:R:3 comment="SbIBr2Cl, optimized geometry, DFT PBE" spacegroup="P4/mmm, No. 123" final_energy_ev_per_atom=-2.3754 dos_ef_per_ev_atom=1.43 raw_formation_energy_mev_per_atom=-202 pbc="T T T"
I -3.1180 -2.5021 2.6605
Sb 0.0000 0.0000 0.0000
Br -2.6791 0.7310 0.5674
Br -0.8267 -2.6716 -0.4617
Cl 0.3879 -0.5615 2.5548

No. 5
10
Lattice="-6.7346 2.7680 3.5594 -3.9343 -6.7328 -2.2082 -3.7807 -4.4955 5.5697" Properties=species:S:1:pos:R:3 comment="Rb2NbRuI6, optimized geometry, DFT PBE" spacegroup="I4/mmm, No. 139" final_energy_ev_per_atom=-3.5006 dos_ef_per_ev_atom=1.56 raw_formation_energy_mev_per_atom=-442 pbc="T T T"
I -4.5479 -3.2546 3.1531
I -9.9017 -5.2057 3.7678
I -2.6395 -0.9809 0.3343
I -8.0294 -2.9839 1.0170
I -6.0418 0.4175 2.1325
I -4.6271 -4.3823 -0.7813
Ru 0.0000 0.0000 0.0000
Nb -5.3345 -1.9824 0.6756
Rb -7.9248 -1.8550 4.9024
Rb -6.5247 -6.6054 2.0186

No. 6
5
Lattice="6.1779 0.0000 0.0000 0.0000 6.1779 0.0000 3.0890 3.0890 3.8615" Properties=species:S:1:pos:R:3 comment="In2PtCl2, optimized geometry, DFT PBE" spacegroup="I4/mmm, No. 139" final_energy_ev_per_atom=-3.3206 dos_ef_per_ev_atom=0.00 raw_formation_energy_mev_per_atom=-278 e_above_lowest_polymorph_mev_per_atom=68.0 pbc="T T T"
Cl 3.0890 3.0890 1.5688
Cl 6.1779 6.1779 2.2927
Pt 0.0000 0.0000 0.0000
In 6.1779 3.0890 1.9307
In 3.0890 6.1779 1.9307

No. 7
16
Lattice="9.3817 0.0000 0.0000 0.0000 4.1620 0.0000 0.0000 0.0000 13.2027" Properties=species:S:1:pos:R:3 comment="Te2PdI, optimized geometry, DFT PBE" spacegroup="Pnma, No. 62" final_energy_ev_per_atom=-3.3725 dos_ef_per_ev_atom=0.65 raw_formation_energy_mev_per_atom=-116 pbc="T T T"
I 1.4978 1.0405 7.4692
I 3.1930 3.1215 0.8679
I 7.8839 3.1215 5.7335
I 6.1887 1.0405 12.3348
Te 5.5335 1.0405 7.9672
Te 8.5391 3.1215 1.3658
Te 3.8482 3.1215 5.2355
Te 0.8426 1.0405 11.8369
Te 3.8932 1.0405 10.4365
Te 0.7977 3.1215 3.8352
Te 5.4885 3.1215 2.7662
Te 8.5841 1.0405 9.3676
Pd 2.2674 1.0405 4.6087
Pd 2.4235 3.1215 11.2100
Pd 7.1143 3.1215 8.5940
Pd 6.9582 1.0405 1.9927

No. 8
4
Lattice="-1.5009 -1.4488 -2.0874 0.1602 -3.4881 2.3058 -2.9322 3.5287 1.7451" Properties=species:S:1:pos:R:3 comment="V3Cr, optimized geometry, DFT PBE" spacegroup="Immm, No. 71" final_energy_ev_per_atom=-9.2941 dos_ef_per_ev_atom=1.33 formation_enthalpy_0k_ev_per_atom=-0.05 pbc="T T T"
Cr 0.1469 -3.1974 2.1135
V -1.8002 -0.9040 1.9218
V -0.6837 -2.1777 -0.0830
V -2.4993 0.0770 -0.3425

No. 9
20
Lattice="-3.0738 4.5814 0.6019 -2.2577 -0.8583 -4.9966 -20.1252 -15.0368 11.6764" Properties=species:S:1:pos:R:3 comment="Ac15La4Tm, optimized geometry, DFT PBE" spacegroup="P4/mmm, No. 123" final_energy_ev_per_atom=-4.2633 dos_ef_per_ev_atom=1.93 formation_enthalpy_0k_ev_per_atom=0.03 pbc="T T T"
Ac -2.6657 1.8616 -2.1973
Ac -6.6500 -1.1153 0.1143
Ac -10.7028 -4.1434 2.4657
Ac -14.7539 -7.1703 4.8161
Ac -18.8067 -10.1984 7.1675
Ac -3.5022 0.8223 1.4412
Ac -7.5476 -2.2003 3.7883
Ac -11.5995 -5.2277 6.1392
Ac -15.6514 -8.2551 8.4900
Ac -19.6968 -11.2777 10.8371
Ac -3.0941 -1.8975 -1.3580
Ac -7.1396 -4.9201 0.9891
Ac -11.1915 -7.9475 3.3399
Ac -15.2434 -10.9749 5.6908
Ac -19.2888 -13.9975 8.0379
La -3.9895 -2.9808 2.3146
La -8.0376 -6.0054 4.6633
La -12.0877 -9.0314 7.0131
La -16.1357 -12.0560 9.3617
Tm 0.0000 0.0000 0.0000

No. 10
12
Lattice="6.3163 -1.5037 -0.0014 -1.7631 7.8123 -0.0090 0.0043 0.0110 8.5677" Properties=species:S:1:pos:R:3 comment="La8CoIrAu2, optimized geometry, DFT PBE" spacegroup="P2/m, No. 10" final_energy_ev_per_atom=-5.5670 dos_ef_per_ev_atom=1.17 formation_enthalpy_0k_ev_per_atom=-0.41 pbc="T T T"
La -1.1985 5.9807 2.0953
La 2.0771 5.3503 -0.0079
La 5.7538 0.3334 2.0988
La 5.7560 0.3390 6.4620
La 2.4804 0.9694 8.5651
La -1.1963 5.9862 6.4585
La 1.9290 5.2735 4.2761
La 2.6284 1.0461 4.2811
Co 0.0000 0.0000 0.0000
Ir 0.0022 0.0055 4.2839
Au 2.2798 3.1626 6.4446
Au 2.2777 3.1570 2.1126

No. 11
4
Lattice="3.1195 0.0000 0.0000 0.0000 3.4218 0.0000 0.0000 0.0000 5.8641" Properties=species:S:1:pos:R:3 comment="TaNi2Te, optimized geometry, DFT PBE" spacegroup="Pmm2, No. 25" final_energy_ev_per_atom=-6.5410 dos_ef_per_ev_atom=0.86 raw_formation_energy_mev_per_atom=98 pbc="T T T"
Ni 0.0000 0.0000 0.1560
Ni 1.5597 1.7109 1.3520
Ta 0.0000 0.0000 2.7035
Te 1.5597 1.7109 4.5846

No. 12
14
Lattice="-3.4187 -3.9838 1.6328 3.9609 1.6409 3.4414 -3.3825 4.5984 -0.4989" Properties=species:S:1:pos:R:3 comment="NiH3Pd3, optimized geometry, DFT PBE" spacegroup="C2/m, No. 12" final_energy_ev_per_atom=-4.5051 dos_ef_per_ev_atom=0.18 e_above_lowest_polymorph_mev_per_atom=17.6 pbc="T T T"
Ni -2.1569 1.6990 3.5167
Ni -0.6835 0.5564 1.0585
H 0.1725 -1.6830 4.5302
H -3.3017 1.5514 2.2108
H -1.3792 3.0167 2.6820
H 0.4613 0.7041 2.3644
H -1.4612 -0.7612 1.8932
H -3.0129 3.9384 0.0450
Pd -0.5557 -0.4224 3.5811
Pd 0.3441 2.4725 2.7200
Pd -3.1845 -0.2170 1.8552
Pd 2.1675 0.2740 3.0019
Pd -1.6254 -2.6169 2.0723
Pd -2.2847 2.6779 0.9942

No. 13
9
Lattice="2.8038 0.3256 -0.4300 0.9350 7.3043 -0.6873 -1.3909 -1.1953 8.2344" Properties=species:S:1:pos:R:3 comment="Ta2Nb6V, optimized geometry, DFT PBE" spacegroup="P-1, No. 2" final_energy_ev_per_atom=-10.3442 dos_ef_per_ev_atom=1.82 formation_enthalpy_0k_ev_per_atom=0.02 pbc="T T T"
Ta 1.8576 4.5511 2.9197
Ta 0.4903 1.8835 4.1973
Nb 0.9434 2.2306 1.4242
Nb -0.8870 -0.7891 5.5303
Nb 1.4046 4.2040 5.6929
Nb 0.0047 1.4421 6.9738
Nb 3.2349 7.2236 1.5868
Nb 2.3433 4.9924 0.1433
V 0.0000 0.0000 0.0000

No. 14
20
Lattice="6.4610 0.2062 -0.1167 -0.5864 6.4376 -0.1167 -1.8209 -2.0593 6.6388" Properties=species:S:1:pos:R:3 comment="TbHgC2O6, optimized geometry, DFT PBE" spacegroup="C2/c, No. 15" final_energy_ev_per_atom=-7.0400 dos_ef_per_ev_atom=0.26 raw_formation_energy_mev_per_atom=-1727 pbc="T T T"
Tb 3.1305 2.2337 1.5430
Tb 0.9232 2.3508 4.8624
Hg -0.3056 5.2720 1.5430
Hg 4.3593 -0.6875 4.8624
C 1.1243 -0.5708 4.8679
C 3.8474 2.5088 4.8569
C 2.9294 5.1553 1.5375
C 0.2063 2.0756 1.5485
O 5.4026 2.2688 1.4290
O 3.3739 -0.0256 1.6570
O -1.3489 2.3157 4.9764
O 0.6798 4.6101 4.7484
O 0.9414 1.5360 0.6116
O 3.5550 4.4918 2.4744
O 3.1123 3.0485 5.7938
O 0.4987 0.0927 3.9310
O 0.9028 2.6490 2.5100
O 2.4456 4.3938 0.5760
O 3.1509 1.9355 3.8954
O 1.6081 0.1906 5.8294

No. 15
4
Lattice="3.6383 0.0000 0.0000 0.0000 5.0643 0.1607 0.0000 3.1959 4.6663" Properties=species:S:1:pos:R:3 comment="CrSe3, optimized geometry, DFT PBE" spacegroup="P2/m, No. 10" final_energy_ev_per_atom=-5.2029 dos_ef_per_ev_atom=0.68 raw_formation_energy_mev_per_atom=-184 pbc="T T T"
Cr 0.0000 0.0000 0.0000
Se 1.8191 6.7077 4.0068
Se 0.0000 4.1301 2.4135
Se 1.8191 1.5525 0.8202

No. 16
4
Lattice="-2.9054 7.0151 7.0803 -0.0023 9.1954 4.8196 -4.0375 8.9295 3.4271" Properties=species:S:1:pos:R:3 comment="KCaCl2, optimized geometry, DFT PBE" spacegroup="R-3m, No. 166" final_energy_ev_per_atom=-3.4308 dos_ef_per_ev_atom=0.30 raw_formation_energy_mev_per_atom=-1733 e_above_lowest_polymorph_mev_per_atom=0.0 pbc="T T T"
Ca -3.4726 12.5700 7.6635
K 0.0000 0.0000 0.0000
Cl -6.0937 22.0578 13.4479
Cl -0.8515 3.0822 1.8791

No. 17
4
Lattice="6.0007 -0.4105 0.0000 2.7390 5.3549 0.0000 -4.3698 -2.4722 3.3121" Properties=species:S:1:pos:R:3 comment="BaLaMn2, optimized geometry, DFT PBE" spacegroup="I-4m2, No. 119" final_energy_ev_per_atom=-5.6346 dos_ef_per_ev_atom=1.39 e_above_lowest_polymorph_mev_per_atom=229.4 formation_enthalpy_0k_ev_per_atom=0.66 pbc="T T T"
Ba 4.3698 2.4722 0.0000
La 3.0003 -0.2053 1.6560
Mn 0.0000 0.0000 0.0000
Mn 1.3695 2.6775 1.6560

No. 18
18
Lattice="-3.6591 -4.8012 -2.1477 6.2722 -1.5931 -0.6129 -0.0794 -2.6058 5.9605" Properties=species:S:1:pos:R:3 comment="Nb2V3Si4, optimized geometry, DFT PBE" spacegroup="P2_1/c, No. 14" final_energy_ev_per_atom=-8.3083 dos_ef_per_ev_atom=0.73 raw_formation_energy_mev_per_atom=-621 pbc="T T T"
Nb -0.8843 -3.8385 0.6498
Nb 1.5759 -7.9766 2.4239
Nb 3.4181 -5.1616 2.5500
Nb 0.9578 -1.0235 0.7760
V 3.0964 -2.0994 2.6738
V 1.3066 -3.1971 -1.3803
V -1.2181 -6.1392 3.1754
V 1.9100 -5.6651 -0.1261
V 3.7519 -2.8609 0.0245
V 0.6237 -3.3350 3.3259
Si -2.6828 -5.6308 1.3371
Si 3.4204 -4.6755 -1.7143
Si 5.2166 -3.3692 1.8628
Si -0.8866 -4.3246 4.9142
Si -0.0850 -5.2908 -1.3915
Si 0.8083 -5.4842 2.0862
Si 2.6188 -3.7093 4.5914
Si 1.7255 -3.5159 1.1136

No. 19
3
Lattice="4.7778 0.0000 0.0000 0.0000 3.8817 0.0000 0.0000 -1.9408 3.3616" Properties=species:S:1:pos:R:3 comment="TmSbF, optimized geometry, DFT PBE" spacegroup="P-6m2, No. 187" final_energy_ev_per_atom=-5.5517 dos_ef_per_ev_atom=0.26 raw_formation_energy_mev_per_atom=-2063 e_above_lowest_polymorph_mev_per_atom=76.4 pbc="T T T"
Sb 3.1852 0.0000 2.2411
Tm 0.7967 1.9408 1.1205
F 0.7959 0.0000 0.0000

No. 20
5
Lattice="-3.8311 -1.8229 -4.8280 1.1957 -6.1628 1.3781 -5.0202 -0.0768 4.0126" Properties=species:S:1:pos:R:3 comment="CsKCr3, optimized geometry, DFT PBE" spacegroup="Pm-3m, No. 221" final_energy_ev_per_atom=-4.1374 dos_ef_per_ev_atom=0.51 e_above_lowest_polymorph_mev_per_atom=167.2 formation_enthalpy_0k_ev_per_atom=2.03 pbc="T T T"
Cs 0.0000 0.0000 0.0000
Cr 0.5979 -3.0814 0.6890
Cr -2.5101 -0.0384 2.0063
Cr -1.9155 -0.9114 -2.4140
K -3.8278 -4.0313 0.2813

No. 21
4
Lattice="-2.6315 -1.5011 -1.4489 -2.1732 -1.7501 1.8685 -7.1547 7.3034 1.5366" Properties=species:S:1:pos:R:3 comment="Tm2BeGa, optimized geometry, DFT PBE" spacegroup="R-3m, No. 166" final_energy_ev_per_atom=-3.4493 dos_ef_per_ev_atom=0.68 e_above_lowest_polymorph_mev_per_atom=741.4 formation_enthalpy_0k_ev_per_atom=0.47 pbc="T T T"
Be 0.0000 0.0000 0.0000
Tm -5.5854 4.9331 1.1419
Tm -6.3741 -0.8809 0.8144
Ga -5.9797 2.0261 0.9781

No. 22
11
Lattice="3.7675 0.0000 0.0000 0.0000 7.8371 0.0380 0.0000 -0.7152 9.7465" Properties=species:S:1:pos:R:3 comment="Ca4Hg5Au2, optimized geometry, DFT PBE" spacegroup="P2/m, No. 10" final_energy_ev_per_atom=-2.0140 dos_ef_per_ev_atom=0.52 formation_enthalpy_0k_ev_per_atom=-0.55 pbc="T T T"
Ca 1.8837 5.5248 5.5609
Ca 1.8837 0.8434 8.4549
Ca 1.8837 1.5970 4.2236
Ca 1.8837 6.2785 1.3296
Hg 0.0000 4.0849 3.1788
Hg 0.0000 1.2286 1.3975
Hg 0.0000 3.9185 0.0190
Hg 0.0000 5.8932 8.3869
Hg 0.0000 3.0370 6.6057
Au 0.0000 0.0905 6.2198
Au 0.0000 7.0314 3.5647